Entry 1:
First-principles (PBE-GGA) data for an optimized crystal structure of TaTlFeHg, as listed in OQMD via LeMat-Bulk.

Values from the calculation:
energy above the most stable polymorph in this dataset = 0.000 eV/atom
total moment = 7.02 μB/cell

Cell lengths 6.587, 6.587, 6.587 Å; angles 90.00, 90.00, 90.00 degrees
Space group F-43m (No. 216)
Inequivalent atoms, fractional coordinates:
Ta1 0.000 0.000 0.000 x4
Tl1 0.250 0.250 0.250 x4
Fe1 0.000 0.000 0.500 x4
Hg1 0.250 0.250 0.750 x4

=====

Entry 2:
First-principles (PBE-GGA) data for an optimized crystal structure of Ba2FePd, as listed in OQMD via LeMat-Bulk.

Values from the calculation:
E_tot = -3.9274 eV/atom
total moment = 12.54 μB/cell

Cell lengths 7.576, 7.576, 7.576 Å; angles 90.00, 90.00, 90.00 degrees
Space group F-43m (No. 216)
Inequivalent atoms, fractional coordinates:
Ba1 0.000 0.000 0.000 x4
Ba2 0.250 0.250 0.250 x4
Fe1 0.250 0.250 0.750 x4
Pd1 0.000 0.000 0.500 x4

=====

Entry 3:
First-principles (PBE-GGA) data for an optimized crystal structure of Cu3GeSeS3, as listed in OQMD via LeMat-Bulk.

Values from the calculation:
E_tot = -4.2687 eV/atom

Cell lengths 7.612, 7.525, 6.564 Å; angles 90.00, 125.21, 90.00 degrees
Space group Cm (No. 8)
Inequivalent atoms, fractional coordinates:
Cu1 0.000 0.000 0.000 x2
Cu2 0.498 0.237 0.478 x4
Ge1 0.013 0.500 0.993 x2
Se1 0.124 0.000 0.733 x2
S1 0.131 0.252 0.242 x4
S2 0.132 0.500 0.742 x2

=====

Question: Number 1 is which compound?
Answer: TaTlFeHg

=====

Question: Number 3 is which compound?
Answer: Cu3GeSeS3